Crystalline Pu6SbAs3P2 at its relaxed geometry, computed with GGA-PBE.

abc: 8.2081 8.2081 10.8185
angles: 126.25 126.25 28.28
Closest atoms and distances in Å follow each position.
Atoms (fractional coordinates):
Pu1 0.0347 0.0347 0.2265  1 Pu 2.68, 2 P 2.89, 2 As 2.95
Pu2 0.1631 0.1631 0.0400  1 Pu 2.68, 1 As 2.88
Pu3 0.3402 0.3402 0.4632  3 P 2.82-2.97, 2 Sb 3.07
Pu4 0.6598 0.6598 0.5368  3 P 2.82-2.97, 2 Sb 3.07
Pu5 0.8369 0.8369 0.9600  1 Pu 2.68, 1 As 2.88
Pu6 0.9653 0.9653 0.7735  1 Pu 2.68, 2 P 2.89, 2 As 2.95
Sb1 0.0000 0.0000 0.5000  6 Pu 3.07-3.33, 4 As 3.15
As1 0.3901 0.3901 0.2168  6 Pu 2.88-3.21, 2 Sb 3.15
As2 0.5000 0.5000 0.0000  2 P 2.69, 4 Pu 2.95
As3 0.6099 0.6099 0.7832  6 Pu 2.88-3.21, 2 Sb 3.15
P1 0.3132 0.3132 0.7116  1 As 2.69, 5 Pu 2.82-2.97
P2 0.6868 0.6868 0.2884  1 As 2.69, 5 Pu 2.82-2.97

Results
The value obtained for the spin magnetization is 10.7 μB per cell. The total energy comes out at -10.235 eV per atom. The density of states at the Fermi level comes out at 40.963 states/eV/f.u. For the uncorrected formation energy, the calculation gives -63.8 kJ per mole of atoms.

Crystalline Ce2HfS5 at its relaxed geometry, computed with GGA-PBE.

abc: 11.3745 8.0609 7.3162
angles: 90.00 90.00 90.00
Closest atoms and distances in Å follow each position.
Atoms (fractional coordinates):
Ce1 0.1724 0.0009 0.0539  8 S 2.85-3.01
Ce2 0.1724 0.4991 0.0539  8 S 2.85-3.01
Ce3 0.3276 0.5009 0.5539  8 S 2.85-3.01
Ce4 0.3276 0.9991 0.5539  8 S 2.85-3.01
Ce5 0.6724 0.0009 0.4461  8 S 2.85-3.01
Ce6 0.6724 0.4991 0.4461  8 S 2.85-3.01
Ce7 0.8276 0.5009 0.9461  8 S 2.85-3.01
Ce8 0.8276 0.9991 0.9461  8 S 2.85-3.01
Hf1 0.0083 0.2500 0.5730  7 S 2.55-2.71
Hf2 0.4917 0.7500 0.0730  7 S 2.55-2.71
Hf3 0.5083 0.2500 0.9270  7 S 2.55-2.71
Hf4 0.9917 0.7500 0.4270  7 S 2.55-2.71
S1 0.0043 0.2500 0.9440  1 Hf 2.71, 4 Ce 2.85-2.89
S2 0.0765 0.5358 0.6764  2 Hf 2.55-2.69
S3 0.0765 0.9642 0.6764  2 Hf 2.55-2.69
S4 0.1911 0.2500 0.3564  1 Hf 2.61
S5 0.2090 0.7500 0.3353  1 Hf 2.56
S6 0.2910 0.2500 0.8353  1 Hf 2.56
S7 0.3089 0.7500 0.8564  1 Hf 2.61
S8 0.4235 0.0358 0.1764  2 Hf 2.55-2.69
S9 0.4235 0.4642 0.1764  2 Hf 2.55-2.69
S10 0.4957 0.7500 0.4440  1 Hf 2.71, 4 Ce 2.85-2.89
S11 0.5043 0.2500 0.5560  1 Hf 2.71, 4 Ce 2.85-2.89
S12 0.5765 0.5358 0.8236  2 Hf 2.55-2.69
S13 0.5765 0.9642 0.8236  2 Hf 2.55-2.69
S14 0.6911 0.2500 0.1436  1 Hf 2.61
S15 0.7090 0.7500 0.1647  1 Hf 2.56
S16 0.7910 0.2500 0.6647  1 Hf 2.56
S17 0.8089 0.7500 0.6436  1 Hf 2.61
S18 0.9235 0.0358 0.3236  2 Hf 2.55-2.69
S19 0.9235 0.4642 0.3236  2 Hf 2.55-2.69
S20 0.9957 0.7500 0.0560  1 Hf 2.71, 4 Ce 2.85-2.89

Results
The value obtained for the spin magnetization is 8.0 μB per cell. The total energy comes out at -7.173 eV per atom. As for the relative energy among the computed polymorphs: 0.0 meV/atom. The density of states at the Fermi level comes out at 11.527 states/eV/f.u. For the uncorrected formation energy, the calculation gives -180.0 kJ per mole of atoms.

Crystalline ReIr2Os at its relaxed geometry, computed with GGA-PBE.

abc: 2.7379 2.7379 7.7711
angles: 90.00 90.00 90.00
Closest atoms and distances in Å follow each position.
Atoms (fractional coordinates):
Re1 0.0000 0.0000 0.0000  4 Ir 2.71, 4 Re 2.74, 4 Os 2.75
Ir1 0.0000 0.0000 0.5051  4 Os 2.71, 8 Ir 2.74-2.80
Ir2 0.5000 0.5000 0.2444  4 Re 2.71, 8 Ir 2.74-2.80
Os1 0.5000 0.5000 0.7484  4 Ir 2.71, 4 Os 2.74, 4 Re 2.75

Results
The value obtained for the spin magnetization is 0.0 μB per cell. The total energy comes out at -10.399 eV per atom. The density of states at the Fermi level comes out at 2.614 states/eV/f.u. As for the formation energy: -49 meV per atom.

Crystalline KCaPd2 at its relaxed geometry, computed with GGA-PBE.

abc: 5.1221 5.1221 5.1221
angles: 60.00 60.00 60.00
Closest atoms and distances in Å follow each position.
Atoms (fractional coordinates):
K1 0.0000 0.0000 0.0000  8 Pd 3.14
Ca1 0.5000 0.5000 0.5000  8 Pd 3.14
Pd1 0.2500 0.2500 0.2500  4 Ca 3.14, 4 K 3.14
Pd2 0.7500 0.7500 0.7500  4 Ca 3.14, 4 K 3.14

Results
The value obtained for the spin magnetization is 0.0 μB per cell. The total energy comes out at -3.479 eV per atom. The density of states at the Fermi level comes out at 2.752 states/eV/f.u. As for the formation energy: -107 meV per atom.

Crystalline Pr2TmTe4 at its relaxed geometry, computed with GGA-PBE.

abc: 7.7399 7.7399 15.3300
angles: 90.00 90.00 147.95
Closest atoms and distances in Å follow each position.
Atoms (fractional coordinates):
Pr1 0.1318 0.8682 0.5718  6 Te 3.10-3.29
Pr2 0.1318 0.8682 0.9282  6 Te 3.10-3.29
Pr3 0.8682 0.1318 0.0718  6 Te 3.10-3.29
Pr4 0.8682 0.1318 0.4282  6 Te 3.10-3.29
Tm1 0.3714 0.6286 0.7500  6 Te 3.08-3.13
Tm2 0.6286 0.3714 0.2500  6 Te 3.08-3.13
Te1 0.0200 0.9800 0.7500  2 Tm 3.08, 2 Pr 3.20
Te2 0.2156 0.7844 0.1268  2 Tm 3.13, 3 Pr 3.23-3.29
Te3 0.2156 0.7844 0.3732  2 Tm 3.13, 3 Pr 3.23-3.29
Te4 0.5000 0.5000 0.0000  4 Pr 3.10
Te5 0.5000 0.5000 0.5000  4 Pr 3.10
Te6 0.7844 0.2156 0.6268  2 Tm 3.13, 3 Pr 3.23-3.29
Te7 0.7844 0.2156 0.8732  2 Tm 3.13, 3 Pr 3.23-3.29
Te8 0.9800 0.0200 0.2500  2 Tm 3.08, 2 Pr 3.20

Results
The value obtained for the spin magnetization is 0.0 μB per cell. The total energy comes out at -5.141 eV per atom. As for the relative energy among the computed polymorphs: 94.4 meV/atom. The density of states at the Fermi level comes out at 2.667 states/eV/f.u. For the uncorrected formation energy, the calculation gives -129.4 kJ per mole of atoms.

Crystalline TlH6N2O at its relaxed geometry, computed with GGA-PBE.

abc: 5.5513 5.5513 7.0862
angles: 110.57 110.57 89.43
Closest atoms and distances in Å follow each position.
Atoms (fractional coordinates):
Tl1 0.1437 0.8563 0.7500  2 N 2.53, 4 H 2.78-2.82
Tl2 0.8563 0.1437 0.2500  2 N 2.53, 4 H 2.78-2.82
H1 0.1647 0.6624 0.2779  1 O 1.01
H2 0.2099 0.4571 0.9084  1 N 1.04
H3 0.3048 0.3628 0.7044  1 N 1.03
H4 0.3376 0.8353 0.2221  1 O 1.01
H5 0.3628 0.3048 0.2044  1 N 1.03
H6 0.4571 0.2099 0.4084  1 N 1.04
H7 0.5429 0.7901 0.5916  1 N 1.04
H8 0.6372 0.6952 0.7956  1 N 1.03
H9 0.6624 0.1647 0.7779  1 O 1.01
H10 0.6952 0.6372 0.2956  1 N 1.03
H11 0.7901 0.5429 0.0916  1 N 1.04
H12 0.8353 0.3376 0.7221  1 O 1.01
N1 0.1401 0.3964 0.7406  2 H 1.03-1.04
N2 0.3964 0.1401 0.2406  2 H 1.03-1.04
N3 0.6036 0.8599 0.7594  2 H 1.03-1.04
N4 0.8599 0.6036 0.2594  2 H 1.03-1.04
O1 0.3296 0.6704 0.2500  2 H 1.01
O2 0.6704 0.3296 0.7500  2 H 1.01

Results
The value obtained for the spin magnetization is 0.0 μB per cell. The total energy comes out at -4.688 eV per atom. The density of states at the Fermi level comes out at 1.065 states/eV/f.u.

Crystalline AcDy7Y3 at its relaxed geometry, computed with GGA-PBE.

abc: 7.1180 7.1180 8.7176
angles: 90.00 90.00 120.00
Closest atoms and distances in Å follow each position.
Atoms (fractional coordinates):
Ac1 0.0000 0.0000 0.0000  9 Dy 3.53-3.56, 3 Y 3.64
Dy1 0.0029 0.5014 0.9980  7 Dy 3.51-3.59, 2 Ac 3.56, 2 Y 3.60
Dy2 0.3325 0.1663 0.3301  2 Y 3.52, 1 Ac 3.53, 8 Dy 3.55-3.57
Dy3 0.3333 0.6667 0.3262  9 Dy 3.51-3.56, 3 Y 3.53
Dy4 0.4986 0.5014 0.9980  7 Dy 3.51-3.59, 2 Ac 3.56, 2 Y 3.60
Dy5 0.4986 0.9971 0.9980  7 Dy 3.51-3.59, 2 Ac 3.56, 2 Y 3.60
Dy6 0.8337 0.1663 0.3301  2 Y 3.52, 1 Ac 3.53, 8 Dy 3.55-3.57
Dy7 0.8337 0.6675 0.3301  2 Y 3.52, 1 Ac 3.53, 8 Dy 3.55-3.57
Y1 0.1684 0.3369 0.6576  4 Y 3.52-3.60, 5 Dy 3.52-3.60, 1 Ac 3.64
Y2 0.1684 0.8316 0.6576  4 Y 3.52-3.60, 5 Dy 3.52-3.60, 1 Ac 3.64
Y3 0.6631 0.8316 0.6576  4 Y 3.52-3.60, 5 Dy 3.52-3.60, 1 Ac 3.64

Results
The value obtained for the spin magnetization is 0.0 μB per cell. The total energy comes out at -4.850 eV per atom. As for the relative energy among the computed polymorphs: 87.7 meV/atom. The density of states at the Fermi level comes out at 18.184 states/eV/f.u. As for the formation energy: 215 meV per atom.

Crystalline Pm2Dy3Sn2 at its relaxed geometry, computed with GGA-PBE.

abc: 8.5436 8.5436 8.0441
angles: 115.32 115.32 23.80
Closest atoms and distances in Å follow each position.
Atoms (fractional coordinates):
Pm1 0.1188 0.1188 0.4747  4 Sn 3.28-3.51, 4 Dy 3.45-3.65, 2 Pm 3.52
Pm2 0.8812 0.8812 0.5253  4 Sn 3.28-3.51, 4 Dy 3.45-3.65, 2 Pm 3.52
Dy1 0.0000 0.0000 0.0000  4 Sn 3.20, 4 Dy 3.23-3.52, 2 Pm 3.45
Dy2 0.2127 0.2127 0.1414  5 Dy 3.23-3.52, 3 Sn 3.24-3.32, 2 Pm 3.60
Dy3 0.7873 0.7873 0.8586  5 Dy 3.23-3.52, 3 Sn 3.24-3.32, 2 Pm 3.60
Sn1 0.4207 0.4207 0.2254  5 Dy 3.20-3.32, 4 Pm 3.28-3.51, 2 Sn 3.52
Sn2 0.5793 0.5793 0.7746  5 Dy 3.20-3.32, 4 Pm 3.28-3.51, 2 Sn 3.52

Results
The value obtained for the spin magnetization is 0.4 μB per cell. The total energy comes out at -4.756 eV per atom. The density of states at the Fermi level comes out at 7.910 states/eV/f.u. As for the formation energy: -282 meV per atom.